# 1
Here is a relaxed structure of Pm2VSb from the Alexandria database. Energies are from PBE.

Lattice parameters (Å, degrees): 4.190 5.028 5.028 90.00 90.00 90.00
Last column: magnetic moment on the atom in μB.
Atoms (fractional coordinates):
Pm (0.000, 0.500, 0.000)  0.01
Sb (0.500, 0.500, 0.500)  -0.01
V (0.500, 0.000, 0.000)  2.70
Pm (0.000, 0.000, 0.500)  0.01

Output
final energy = -5.910 eV per atom
M_tot = 3.37 μB/f.u.
formation energy without anion corrections = -224 meV/atom

=====

# 2
Here is a relaxed structure of Pm3Nd2Sn from the Alexandria database. Energies are from PBE.

Lattice parameters (Å, degrees): 4.963 4.939 8.176 107.58 90.00 90.00
Atoms (fractional coordinates):
Nd (0.000, 0.660, 0.321)
Sn (0.000, 0.000, 0.000)
Pm (0.500, 0.162, 0.323)
Nd (0.000, 0.340, 0.679)
Pm (0.500, 0.500, 0.000)
Pm (0.500, 0.838, 0.677)

Output
calculated formation energy = -0.260 eV per atom
final energy = -4.892 eV per atom
M_tot = 0.00 μB/f.u.